Below is crystalline TlHgAs at its relaxed geometry, with properties calculated at the PBE level.

Results
total magnetic moment: 0.00 Bohr magnetons per cell
D(E_F): 2.60 states/eV/cell
space-group type: No. 164
ΔE_f: 3 meV/atom

Structure (POSCAR):
```
TlHgAs
1.0
3.6077 0.0000 0.0000
-1.8039 3.1244 0.0000
0.0000 0.0000 14.8953
Tl Hg As
2 2 2
Direct
0.0000 0.0000 0.2399 Tl
0.0000 0.0000 0.7601 Tl
0.3333 0.6667 0.4196 Hg
0.6667 0.3333 0.5804 Hg
0.3333 0.6667 0.9523 As
0.6667 0.3333 0.0477 As
```